First-principles (PBE-GGA) data for YZnGa after structural relaxation, as listed in Alexandria via LeMat-Bulk.

```
YZnGa
1.0
4.422 0.000 0.000
-2.211 3.830 0.000
0.000 0.000 3.602
Y Zn Ga
1 1 1
direct
0.000 0.000 0.000
0.333 0.667 0.500
0.667 0.333 0.500
```

E_form = -0.57 eV per atom
Symmetry = P-6m2 (187)
Total energy = -12.48 eV/cell
Fermi-level density of states = 1.58 states/eV per cell

First-principles (PBE-GGA) data for Y4ZnGa3 after structural relaxation, as listed in Alexandria via LeMat-Bulk.

```
Y4ZnGa3
1.0
-2.016 2.173 10.994
2.016 -2.173 10.994
2.016 2.173 -10.994
Y Zn Ga
4 1 3
direct
0.000 0.000 0.000
0.139 0.639 0.500
0.391 0.391 0.000
0.747 0.247 0.500
0.283 0.783 0.500
0.531 0.531 0.000
0.607 0.107 0.500
0.858 0.858 0.000
```

E_form = -0.57 eV per atom
Symmetry = Imm2 (44)
Total energy = -40.80 eV/cell
Fermi-level density of states = 7.29 states/eV per cell

First-principles (PBE-GGA) data for YZnGa after structural relaxation, as listed in Alexandria via LeMat-Bulk.

```
YZnGa
1.0
-2.061 2.064 7.312
2.061 -2.064 7.312
2.061 2.064 -7.312
Y Zn Ga
2 2 2
direct
0.000 0.000 0.000
0.329 0.329 0.000
0.164 0.664 0.500
0.786 0.786 0.000
0.539 0.539 0.000
0.664 0.164 0.500
```

E_form = -0.47 eV per atom
Symmetry = Imm2 (44)
Total energy = -24.37 eV/cell
Fermi-level density of states = 3.95 states/eV per cell

First-principles (PBE-GGA) data for Y2Zn3Ga2 after structural relaxation, as listed in Alexandria via LeMat-Bulk.

```
Y2Zn3Ga2
1.0
5.244 -2.156 0.000
5.244 2.156 0.000
-2.522 0.000 6.025
Y Zn Ga
2 3 2
direct
0.152 0.152 0.266
0.848 0.848 0.734
0.408 0.408 0.080
0.500 0.500 0.500
0.592 0.592 0.920
0.149 0.149 0.750
0.851 0.851 0.250
```

E_form = -0.48 eV per atom
Symmetry = C2/m (12)
Total energy = -26.17 eV/cell
Fermi-level density of states = 3.43 states/eV per cell

First-principles (PBE-GGA) data for YZnGa after structural relaxation, as listed in Alexandria via LeMat-Bulk.

```
YZnGa
1.0
0.000 3.200 3.200
3.200 0.000 3.200
3.200 3.200 0.000
Y Zn Ga
1 1 1
direct
0.000 0.000 0.000
0.750 0.750 0.750
0.500 0.500 0.500
```

E_form = -0.42 eV per atom
Symmetry = F-43m (216)
Total energy = -12.03 eV/cell
Fermi-level density of states = 0.93 states/eV per cell

First-principles (PBE-GGA) data for Y4ZnGa3 after structural relaxation, as listed in Alexandria via LeMat-Bulk.

```
Y4ZnGa3
1.0
5.073 0.000 0.000
0.000 5.073 0.000
0.000 0.000 7.124
Y Zn Ga
4 1 3
direct
0.000 0.500 0.249
0.000 0.500 0.751
0.500 0.000 0.249
0.500 0.000 0.751
0.000 0.000 0.000
0.000 0.000 0.500
0.500 0.500 0.000
0.500 0.500 0.500
```

E_form = -0.56 eV per atom
Symmetry = P4/mmm (123)
Total energy = -40.68 eV/cell
Fermi-level density of states = 5.32 states/eV per cell